[1]
Material: BaZnW2
Method: DFT, PBE
State: optimized geometry

It has space group I4/mmm (No. 139), with a = 4.111 Å, b = 4.111 Å, c = 10.095 Å, α = 90.00°, β = 90.00° and γ = 90.00°. The distinct sites, in fractional coordinates, are Ba at (0.000, 0.000, 0.000), Zn at (0.000, 0.000, 0.500) and W at (0.000, 0.500, 0.250).

The crystal system is tetragonal. For the formation energy, the calculation gives 1497 meV/atom. The value obtained for the total energy is -5.78 eV/atom. As for the spin magnetization: 0.0 μB per formula unit.

[2]
Material: BaZn2W
Method: DFT, PBE
State: optimized geometry

It has space group I-4m2 (No. 119), with a = 4.268 Å, b = 4.268 Å, c = 9.700 Å, α = 90.00°, β = 90.00° and γ = 90.00°. The distinct sites, in fractional coordinates, are Ba at (0.000, 0.000, 0.000), Zn at (0.000, 0.000, 0.500), Zn at (0.000, 0.500, 0.250) and W at (0.000, 0.500, 0.750).

The calculation puts the energy above the lowest structure with this stoichiometry at 606 meV/atom. The crystal system is tetragonal. For the formation energy, the calculation gives 1080 meV/atom. The value obtained for the total energy is -3.28 eV/atom. As for the spin magnetization: 0.0 μB per formula unit.